No. 1
First-principles (PBE) data for a relaxed Er6GeSe12 crystal, as listed in the Alexandria database.

Cell and atoms, written as POSCAR:
```
Er6GeSe12
1.0
6.105 3.525 3.893
-6.105 3.525 3.893
0.000 -7.050 3.893
Er Ge Se
6 1 12
Direct
0.137 0.818 0.636
0.182 0.364 0.863
0.364 0.863 0.182
0.636 0.137 0.818
0.818 0.636 0.137
0.863 0.182 0.364
0.500 0.500 0.500
0.072 0.923 0.319
0.077 0.681 0.928
0.171 0.457 0.522
0.319 0.072 0.923
0.457 0.522 0.171
0.478 0.829 0.543
0.522 0.171 0.457
0.543 0.478 0.829
0.681 0.928 0.077
0.829 0.543 0.478
0.923 0.319 0.072
0.928 0.077 0.681
```

Output
Raw total energy, eV for the cell shown: -100.35
Space group: No. 148
Raw formation energy, eV per atom: -1.40



No. 2
First-principles (PBE) data for a relaxed Er3GeSe6 crystal, as listed in the Alexandria database.

Cell and atoms, written as POSCAR:
```
Er3GeSe6
1.0
5.552 -6.925 0.000
5.552 6.925 0.000
0.000 0.000 6.839
Er Ge Se
6 2 12
Direct
0.096 0.904 0.500
0.217 0.413 0.593
0.413 0.217 0.093
0.587 0.783 0.593
0.783 0.587 0.093
0.904 0.096 0.000
0.299 0.701 0.135
0.701 0.299 0.635
0.057 0.597 0.325
0.129 0.196 0.295
0.196 0.129 0.795
0.281 0.719 0.752
0.403 0.943 0.325
0.466 0.534 0.293
0.534 0.466 0.793
0.597 0.057 0.825
0.719 0.281 0.252
0.804 0.871 0.295
0.871 0.804 0.795
0.943 0.403 0.825
```

Output
Raw total energy, eV for the cell shown: -106.34
Space group: No. 36
Raw formation energy, eV per atom: -1.40



no.,total magnetization (Bohr magnetons per cell)
1,0.00
2,0.00